[1]
Compound: TaTcW2
Source: the Alexandria database
Functional: PBE
Structure: relaxed

a = 7.2953 Å, b = 7.2953 Å, c = 5.3148 Å
α = 90.00°, β = 90.00°, γ = 90.00°
Space group I-42d (No. 122)
Asymmetric unit:
Ta (0.0000, 0.0000, 0.0000) (multiplicity 4)
Tc (0.0000, 0.0000, 0.5000) (multiplicity 4)
W (0.2283, 0.2500, 0.6250) (multiplicity 8)

polymorph energy (0 for the lowest one)	951	meV/atom
ΔE_f	76.6	kJ/mol of atoms
density of states at the Fermi level	16.0	states/eV/cell
mass density	15.18	g cm⁻³

[2]
Compound: Tb2Pr5Er4
Source: the Alexandria database
Functional: PBE
Structure: relaxed

a = 17.7635 Å, b = 3.5632 Å, c = 11.6793 Å
α = 90.00°, β = 93.96°, γ = 90.00°
Space group C2/m (No. 12)
Asymmetric unit:
Tb (0.2161, 0.0000, 0.3514) (multiplicity 4)
Pr (0.0000, 0.0000, 0.0000) (multiplicity 2)
Pr (0.0969, 0.5000, 0.5352) (multiplicity 4)
Pr (0.1764, 0.5000, 0.0708) (multiplicity 4)
Er (0.0344, 0.5000, 0.2601) (multiplicity 4)
Er (0.1402, 0.0000, 0.7955) (multiplicity 4)

polymorph energy (0 for the lowest one)	0	meV/atom
ΔE_f	7.3	kJ/mol of atoms
density of states at the Fermi level	30.4	states/eV/cell
mass density	7.62	g cm⁻³

[3]
Compound: LiTlFe2Br8
Source: the Alexandria database
Functional: PBE
Structure: relaxed

a = 11.3699 Å, b = 7.7270 Å, c = 9.6196 Å
α = 90.00°, β = 94.16°, γ = 90.00°
Space group C2/m (No. 12)
Asymmetric unit:
Li (0.0000, 0.0000, 0.0000) (multiplicity 2)
Tl (0.0000, 0.0000, 0.5000) (multiplicity 2)
Fe (0.1233, 0.5000, 0.7797) (multiplicity 4)
Br (0.0011, 0.2517, 0.2126) (multiplicity 8)
Br (0.2079, 0.5000, 0.5650) (multiplicity 4)
Br (0.2426, 0.0000, 0.0242) (multiplicity 4)

mass density	3.79	g cm⁻³
energy relative to the elements, uncorrected	-0.7216	eV per atom

[4]
Compound: Ac3Tl3Pd2
Source: the Alexandria database
Functional: PBE
Structure: relaxed

a = 4.7167 Å, b = 11.4863 Å, c = 17.4011 Å
α = 90.00°, β = 90.00°, γ = 90.00°
Space group Cmcm (No. 63)
Asymmetric unit:
Ac (0.0000, 0.0652, 0.1080) (multiplicity 8)
Ac (0.0000, 0.3349, 0.2500) (multiplicity 4)
Tl (0.0000, 0.3545, 0.0356) (multiplicity 8)
Tl (0.0000, 0.3772, 0.7500) (multiplicity 4)
Pd (0.0000, 0.2221, 0.6172) (multiplicity 8)

ΔE_f	-50.5	kJ/mol of atoms
density of states at the Fermi level	22.6	states/eV/cell
mass density	10.62	g cm⁻³

[5]
Compound: CsTl2ZnAg
Source: the Alexandria database
Functional: PBE
Structure: relaxed

a = 5.5468 Å, b = 5.5468 Å, c = 5.4127 Å
α = 90.00°, β = 90.00°, γ = 90.00°
Space group P4/mmm (No. 123)
Asymmetric unit:
Cs (0.0000, 0.0000, 0.0000) (multiplicity 1)
Tl (0.0000, 0.5000, 0.5000) (multiplicity 2)
Zn (0.5000, 0.5000, 0.5000) (multiplicity 1)
Ag (0.5000, 0.5000, 0.0000) (multiplicity 1)

polymorph energy (0 for the lowest one)	0	meV/atom
ΔE_f	12.8	kJ/mol of atoms
density of states at the Fermi level	2.6	states/eV/cell
mass density	7.13	g cm⁻³

[6]
Compound: NaVH2Pd
Source: the Alexandria database
Functional: PBE
Structure: relaxed

a = 3.7079 Å, b = 3.7079 Å, c = 5.1150 Å
α = 90.00°, β = 90.00°, γ = 90.00°
Space group P4/mmm (No. 123)
Asymmetric unit:
Na (0.0000, 0.0000, 0.0000) (multiplicity 1)
V (0.5000, 0.5000, 0.5000) (multiplicity 1)
H (0.0000, 0.5000, 0.0000) (multiplicity 2)
Pd (0.0000, 0.0000, 0.5000) (multiplicity 1)

E_tot	-3.36	eV/atom
density of states at the Fermi level	5.4	states/eV/cell
mass density	4.31	g cm⁻³